DFT (SCAN) results for a crystal of AlBi3Os relaxed with PBEsol.

Unit cell a=5.2697 b=5.2697 c=5.2697 alpha=90.00 beta=90.00 gamma=90.00
Sites, in units of the cell vectors:
Al (0.0000, 0.0000, 0.0000)
Bi (0.0000, 0.5000, 0.5000)
Bi (0.5000, 0.0000, 0.5000)
Bi (0.5000, 0.5000, 0.0000)
Os (0.5000, 0.5000, 0.5000)

Symmetry: Pm-3m
M_tot in μB/atom: 0.000
D(E_F) in states/eV/atom: 0.7755
ΔH_f (0 K) in eV/atom: 0.958
Density in Mg/m³: 9.58